Cs2Al2Hg after structural relaxation, computed with PBE.

Cell: 3.962 3.962 24.786 Å, 90.00 90.00 90.00°
Space group I4/mmm (No. 139)
Unique sites:
Cs  0.000  0.000  0.111 x4
Al  0.000  0.500  0.250 x4
Hg  0.000  0.000  0.500 x2

The value obtained for the final energy is -17.1 eV per cell. As for the energy above the most stable polymorph in this dataset: 0.0 meV/atom. The total magnetization is 0.000 μB/atom.